A plane-wave DFT calculation with GGA-PBE was carried out for a geometry-optimized U2InSe4 structure.

Lattice parameters (Å, degrees): 8.6175 8.6175 8.7174 119.45 119.45 89.89
Last column: nearest neighbours and their distance in Å.
Element x y z (fractional)
U1 0.0000 0.0000 0.0000  6 Se 2.89-2.90
U2 0.0000 0.0000 0.5000  6 Se 2.89-2.90
U3 0.0000 0.5000 0.0000  6 Se 2.90-2.91
U4 0.5000 0.0000 0.5000  6 Se 2.90-2.91
In1 0.3770 0.6230 0.7500  4 Se 2.99
In2 0.6230 0.3770 0.2500  4 Se 2.99
Se1 0.2041 0.2299 0.9616  3 U 2.89-2.90, 1 In 2.99
Se2 0.2299 0.2041 0.4616  3 U 2.89-2.90, 1 In 2.99
Se3 0.2316 0.7574 0.4631  3 U 2.90-2.91, 1 In 2.99
Se4 0.2426 0.7684 0.0369  3 U 2.90-2.91, 1 In 2.99
Se5 0.7574 0.2316 0.9631  3 U 2.90-2.91, 1 In 2.99
Se6 0.7684 0.2426 0.5369  3 U 2.90-2.91, 1 In 2.99
Se7 0.7701 0.7959 0.5384  3 U 2.89-2.90, 1 In 2.99
Se8 0.7959 0.7701 0.0384  3 U 2.89-2.90, 1 In 2.99

Results
formation energy from raw total energies = -0.877 eV per atom
DFT total energy = -6.484 eV/atom
calculated density = 6.47 g/cm³
excess energy over the best structure of this formula in the dataset = 0.048 eV/atom



A plane-wave DFT calculation with GGA-PBE was carried out for a geometry-optimized CePa5S6 structure.

Lattice parameters (Å, degrees): 6.8562 6.8562 6.8967 99.85 99.85 123.14
Last column: nearest neighbours and their distance in Å.
Element x y z (fractional)
Ce1 0.0000 0.0000 0.0000  6 S 2.79-2.80
Pa1 0.1643 0.8357 0.5000  6 S 2.76-2.77
Pa2 0.3326 0.6674 0.0000  6 S 2.76-2.77
Pa3 0.5000 0.5000 0.5000  6 S 2.75-2.76
Pa4 0.6674 0.3326 0.0000  6 S 2.76-2.77
Pa5 0.8357 0.1643 0.5000  6 S 2.76-2.77
S1 0.0851 0.4216 0.2529  5 Pa 2.76-2.77, 1 Ce 2.80
S2 0.2547 0.2547 0.7508  5 Pa 2.75-2.76, 1 Ce 2.79
S3 0.4216 0.0851 0.2529  5 Pa 2.76-2.77, 1 Ce 2.80
S4 0.5784 0.9149 0.7471  5 Pa 2.76-2.77, 1 Ce 2.80
S5 0.7453 0.7453 0.2492  5 Pa 2.75-2.76, 1 Ce 2.79
S6 0.9149 0.5784 0.7471  5 Pa 2.76-2.77, 1 Ce 2.80

Results
formation energy from raw total energies = -1.667 eV per atom
DFT total energy = -8.182 eV/atom
calculated density = 9.75 g/cm³



A plane-wave DFT calculation with GGA-PBE was carried out for a geometry-optimized KCaBi2Ru structure.

Lattice parameters (Å, degrees): 5.4304 5.4304 5.4257 90.00 90.00 90.00
Last column: nearest neighbours and their distance in Å.
Element x y z (fractional)
K1 0.0000 0.0000 0.0000  8 Bi 3.84, 4 Ca 3.84
Ca1 0.5000 0.5000 0.0000  2 Ru 2.71
Bi1 0.0000 0.5000 0.5000  2 Ru 2.72
Bi2 0.5000 0.0000 0.5000  2 Ru 2.72
Ru1 0.5000 0.5000 0.5000  2 Ca 2.71, 4 Bi 2.72

Results
DFT total energy = -4.060 eV/atom
calculated density = 6.21 g/cm³
excess energy over the best structure of this formula in the dataset = 0.000 eV/atom
DFT formation energy = -0.033 eV/atom



A plane-wave DFT calculation with GGA-PBE was carried out for a geometry-optimized K2Cd3Ag structure.

Lattice parameters (Å, degrees): 6.7729 6.7729 10.0983 112.19 112.19 80.70
Last column: nearest neighbours and their distance in Å.
Element x y z (fractional)
K1 0.2453 0.2550 0.1239  9 Cd 3.60-3.78, 3 Ag 3.64-3.71
K2 0.2550 0.2453 0.6239  9 Cd 3.60-3.78, 3 Ag 3.64-3.71
K3 0.7450 0.7547 0.3761  9 Cd 3.60-3.78, 3 Ag 3.64-3.71
K4 0.7547 0.7450 0.8761  9 Cd 3.60-3.78, 3 Ag 3.64-3.71
Cd1 0.1604 0.8396 0.7500  1 Ag 2.86, 2 Cd 2.97
Cd2 0.3223 0.6632 0.4919  1 Ag 2.87, 2 Cd 2.97-2.99
Cd3 0.3368 0.6777 0.0081  1 Ag 2.87, 2 Cd 2.97-2.99
Cd4 0.6632 0.3223 0.9919  1 Ag 2.87, 2 Cd 2.97-2.99
Cd5 0.6777 0.3368 0.5081  1 Ag 2.87, 2 Cd 2.97-2.99
Cd6 0.8396 0.1604 0.2500  1 Ag 2.86, 2 Cd 2.97
Ag1 0.1655 0.8345 0.2500  3 Cd 2.86-2.87
Ag2 0.8345 0.1655 0.7500  3 Cd 2.86-2.87

Results
DFT total energy = -1.331 eV/atom
calculated density = 4.38 g/cm³
excess energy over the best structure of this formula in the dataset = 0.044 eV/atom
DFT formation energy = -0.033 eV/atom



A plane-wave DFT calculation with GGA-PBE was carried out for a geometry-optimized Tl3CrHg structure.

Lattice parameters (Å, degrees): 5.3722 5.3722 5.3722 90.00 90.00 90.00
Last column: nearest neighbours and their distance in Å.
Element x y z (fractional)
Tl1 0.0000 0.0000 0.5000  2 Cr 2.69
Tl2 0.0000 0.5000 0.0000  2 Cr 2.69
Tl3 0.5000 0.0000 0.0000  2 Cr 2.69
Cr1 0.0000 0.0000 0.0000  6 Tl 2.69
Hg1 0.5000 0.5000 0.5000  12 Tl 3.80

Results
DFT total energy = -3.015 eV/atom
calculated density = 9.27 g/cm³
excess energy over the best structure of this formula in the dataset = 0.000 eV/atom
DFT formation energy = 0.390 eV/atom



A plane-wave DFT calculation with GGA-PBE was carried out for a geometry-optimized NaSrSn4 structure.

Lattice parameters (Å, degrees): 4.5123 4.5123 11.7658 100.93 100.93 60.07
Last column: nearest neighbours and their distance in Å.
Element x y z (fractional)
Na1 0.0000 0.0000 0.0000  8 Sn 3.35-3.47
Sr1 0.5000 0.5000 0.5000  8 Sn 3.46-3.63
Sn1 0.1009 0.1009 0.3022  3 Sn 2.94
Sn2 0.3954 0.3954 0.1842  3 Sn 2.94
Sn3 0.6046 0.6046 0.8158  3 Sn 2.94
Sn4 0.8991 0.8991 0.6978  3 Sn 2.94

Results
DFT total energy = -3.465 eV/atom
calculated density = 4.80 g/cm³
excess energy over the best structure of this formula in the dataset = 0.000 eV/atom
DFT formation energy = -0.296 eV/atom